SrAl2VAg: optimized geometry, PBE-GGA.

The structure in POSCAR format:
```
SrAl2VAg
1.0
5.548 0.000 0.000
0.000 5.548 0.000
0.000 0.000 4.739
Sr Al V Ag
1 2 1 1
Direct
0.000 0.000 0.000
0.000 0.500 0.000
0.500 0.000 0.000
0.000 0.000 0.500
0.500 0.500 0.500
```

Properties
energy of formation from the pure elements = 1.964 eV per atom
density of states at the Fermi level = 6.3 states/eV per cell
M_tot = 0.00 μB/cell
space-group type = P4/mmm
E = -2.263 eV per atom
mass density = 3.42 g/cm3

***

Sr2YAlAg: optimized geometry, PBE-GGA.

The structure in POSCAR format:
```
Sr2YAlAg
1.0
5.971 0.000 0.000
0.000 5.971 0.000
0.000 0.000 5.006
Sr Y Al Ag
2 1 1 1
Direct
0.000 0.500 0.000
0.500 0.000 0.000
0.000 0.000 0.500
0.500 0.500 0.500
0.500 0.500 0.000
```

Properties
energy of formation from the pure elements = 0.200 eV per atom
density of states at the Fermi level = 5.3 states/eV per cell
M_tot = 0.00 μB/cell
space-group type = P4/mmm
E = -3.084 eV per atom
mass density = 3.71 g/cm3